Entry A
Below is a relaxed structure of BaLaTc2, with properties calculated at the GGA-PBEsol level.

## Properties
The calculated volume is 27.5 Å³/atom.

The structure in POSCAR format:
```
BaLaTc2
1.0
-1.2310 2.8546 -1.4960
-0.1765 -1.6587 -3.0198
-8.6155 -2.6801 1.9756
Ba La Tc
1 1 2
Direct
0.0000 0.0000 0.4348 Ba
0.5000 0.5000 0.8380 La
0.0000 0.0000 0.0887 Tc
0.5000 0.5000 0.1384 Tc
```

Entry B
Below is a relaxed structure of BaLaTc2, with properties calculated at the GGA-PBEsol level.

## Properties
The calculated volume is 28.2 Å³/atom.

The structure in POSCAR format:
```
BaLaTc2
1.0
-3.0656 2.3364 -1.1038
-1.8220 -0.7399 3.4940
3.2015 5.5440 2.8435
Tc La Ba
2 1 1
Direct
0.0000 0.0000 0.3451 Tc
0.0000 0.0000 0.6549 Tc
0.5000 0.5000 0.5000 La
0.5000 0.5000 0.0000 Ba
```

Entry C
Below is a relaxed structure of BaLaTc2, with properties calculated at the GGA-PBEsol level.

## Properties
The calculated volume is 26.5 Å³/atom.

The structure in POSCAR format:
```
BaLaTc2
1.0
3.2853 0.0000 0.0224
0.0000 4.6999 0.0000
-1.2347 0.0000 6.8646
Tc Ba La
2 1 1
Direct
0.2786 0.0000 0.3568 Tc
0.7214 0.0000 0.6432 Tc
0.5000 0.5000 0.0000 Ba
0.0000 0.5000 0.5000 La
```

Quick look at relative energies in meV per atom: entry A 0; entry B 234; entry C 217.

Entry A
Below is a relaxed structure of BaLaTe2, with properties calculated at the GGA-PBEsol level.

## Properties
The calculated volume is 36.6 Å³/atom.

The structure in POSCAR format:
```
BaLaTe2
1.0
-4.4214 -0.5066 1.3627
-0.9616 -2.0512 4.0657
-1.4885 6.0794 5.3790
Ba Te La
1 2 1
Direct
0.0000 0.0000 0.0000 Ba
0.2429 0.2429 0.2712 Te
0.7571 0.7571 0.7288 Te
0.5000 0.5000 0.5000 La
```

Entry B
Below is a relaxed structure of BaLaTe2, with properties calculated at the GGA-PBEsol level.

## Properties
The calculated volume is 47.3 Å³/atom.

The structure in POSCAR format:
```
BaLaTe2
1.0
-3.0987 1.8346 2.9653
-3.0279 -2.7695 2.2186
4.5056 -1.4334 9.2642
Te Ba La
2 1 1
Direct
0.1098 0.1098 0.6706 Te
0.8902 0.8902 0.3294 Te
0.0000 0.0000 0.0000 Ba
0.5000 0.5000 0.5000 La
```

Quick look at relative energies in meV per atom: entry A 0; entry B 470.

Entry A
Below is a relaxed structure of BaLaTl, with properties calculated at the GGA-PBEsol level.

## Properties
The calculated volume is 35.8 Å³/atom.

The structure in POSCAR format:
```
BaLaTl
1.0
-2.7328 -2.2741 -1.2552
3.1778 -2.4775 -2.4300
0.6013 -1.2485 6.6152
Tl Ba La
1 1 1
Direct
0.3169 0.3169 0.6339 Tl
0.9799 0.9799 0.9598 Ba
0.7032 0.7032 0.4063 La
```

Entry B
Below is a relaxed structure of BaLaTl, with properties calculated at the GGA-PBEsol level.

## Properties
The calculated volume is 36.6 Å³/atom.

The structure in POSCAR format:
```
BaLaTl
1.0
-3.9065 -3.2635 1.7283
0.6075 -5.3309 -0.3329
0.7067 -2.9087 4.4652
Tl Ba La
1 1 1
Direct
0.0000 0.0000 0.0000 Tl
0.5000 0.5000 0.5000 Ba
0.2500 0.2500 0.2500 La
```

Entry C
Below is a relaxed structure of BaLaTl, with properties calculated at the GGA-PBEsol level.

## Properties
The calculated volume is 37.5 Å³/atom.

The structure in POSCAR format:
```
BaLaTl
1.0
-1.0271 -5.3116 -0.1413
0.9940 -0.4235 8.6948
-9.2450 1.7574 1.1425
Tl Ba La
4 4 4
Direct
0.2500 0.2864 0.0987 Tl
0.7500 0.2136 0.5987 Tl
0.2500 0.7864 0.4013 Tl
0.7500 0.7136 0.9013 Tl
0.7500 0.4858 0.3198 Ba
0.2500 0.0142 0.8198 Ba
0.7500 0.9858 0.1802 Ba
0.2500 0.5142 0.6802 Ba
0.7500 0.8476 0.5854 La
0.2500 0.1524 0.4146 La
0.7500 0.3476 0.9146 La
0.2500 0.6524 0.0854 La
```

Quick look at relative energies in meV per atom: entry A 101; entry B 400; entry C 0.